Entry 1:
LiNb5Os6 | Alexandria via LeMat-Bulk | PBE | optimized geometry; DFT formation energy = -0.161 eV per atom; DOS(E_F) = 5.74 states/eV per cell; space group = Immm (71); calculated total energy = -10.131 eV per atom; volume = 189.4 Å³/cell
1.0
-2.2380 3.1608 6.6932
2.2380 -3.1608 6.6932
2.2380 3.1608 -6.6932
Li Nb Os
1 5 6
Direct
0.0000 0.0000 0.0000
0.1642 0.6642 0.5000
0.3373 0.3373 0.0000
0.5000 0.0000 0.5000
0.6627 0.6627 0.0000
0.8358 0.3358 0.5000
0.0795 0.8327 0.2468
0.2436 0.5000 0.7436
0.4141 0.1673 0.2468
0.5859 0.8327 0.7532
0.7564 0.5000 0.2564
0.9205 0.1673 0.7532

=====

Entry 2:
LiNbOs3 | Alexandria via LeMat-Bulk | PBE | optimized geometry; DFT formation energy = 0.822 eV per atom; DOS(E_F) = 5.04 states/eV per cell; space group = Pm-3m (221); calculated total energy = -8.312 eV per atom; volume = 70.7 Å³/cell
1.0
4.1343 0.0000 0.0000
0.0000 4.1343 0.0000
0.0000 0.0000 4.1343
Li Nb Os
1 1 3
Direct
0.0000 0.0000 0.0000
0.5000 0.5000 0.5000
0.0000 0.0000 0.5000
0.0000 0.5000 0.0000
0.5000 0.0000 0.0000

=====

Entry 3:
LiPuNbOs | Alexandria via LeMat-Bulk | PBE | optimized geometry; DFT formation energy = 0.156 eV per atom; DOS(E_F) = 8.49 states/eV per cell; space group = F-43m (216); calculated total energy = -9.230 eV per atom; volume = 71.6 Å³/cell
1.0
0.0000 3.2951 3.2951
3.2951 0.0000 3.2951
3.2951 3.2951 0.0000
Li Pu Nb Os
1 1 1 1
Direct
0.0000 0.0000 0.0000
0.2500 0.2500 0.2500
0.7500 0.7500 0.7500
0.5000 0.5000 0.5000

=====

Entry 4:
LiNbOsRh2 | Alexandria via LeMat-Bulk | PBE | optimized geometry; DFT formation energy = 0.664 eV per atom; DOS(E_F) = 3.16 states/eV per cell; space group = P4/mmm (123); calculated total energy = -6.920 eV per atom; volume = 70.8 Å³/cell
1.0
4.0338 0.0000 0.0000
0.0000 4.0338 0.0000
0.0000 0.0000 4.3524
Li Nb Os Rh
1 1 1 2
Direct
0.0000 0.0000 0.0000
0.0000 0.0000 0.5000
0.5000 0.5000 0.5000
0.0000 0.5000 0.0000
0.5000 0.0000 0.0000

=====

Entry 5:
LiTiNbOs | Alexandria via LeMat-Bulk | PBE | optimized geometry; DFT formation energy = -0.179 eV per atom; DOS(E_F) = 3.10 states/eV per cell; space group = F-43m (216); calculated total energy = -7.956 eV per atom; volume = 61.8 Å³/cell
1.0
0.0000 3.1377 3.1377
3.1377 0.0000 3.1377
3.1377 3.1377 0.0000
Li Ti Nb Os
1 1 1 1
Direct
0.0000 0.0000 0.0000
0.7500 0.7500 0.7500
0.2500 0.2500 0.2500
0.5000 0.5000 0.5000

=====

Entry 6:
LiNb2TlOs | Alexandria via LeMat-Bulk | PBE | optimized geometry; DFT formation energy = 0.994 eV per atom; DOS(E_F) = 6.49 states/eV per cell; space group = P4/mmm (123); calculated total energy = -6.136 eV per atom; volume = 126.2 Å³/cell
1.0
4.8931 0.0000 0.0000
0.0000 4.8931 0.0000
0.0000 0.0000 5.2708
Li Nb Tl Os
1 2 1 1
Direct
0.0000 0.0000 0.0000
0.0000 0.5000 0.5000
0.5000 0.0000 0.5000
0.5000 0.5000 0.0000
0.5000 0.5000 0.5000